A relaxed structure of ReAgAu3. Source: the Alexandria database, functional PBE-GGA.

Geometry as POSCAR:
```
ReAgAu3
1.0
5.034 0.000 0.000
0.000 5.034 0.000
0.000 0.000 5.034
Re Au Ag
1 3 1
direct
0.000 0.000 0.000
0.000 0.500 0.000
0.000 0.000 0.500
0.500 0.000 0.000
0.500 0.500 0.500
```

Results
The crystal system is cubic. As for the distance to the lowest polymorph of the same formula: 0.000 eV/f.u. Its formation energy is 1.242 eV/atom. The density of states at the Fermi level comes out at 5.0 states/eV/cell.